Record 1
## Ba2Ge2BIr2 (GGA-PBE)

Data for a relaxed structure of Ba2Ge2BIr2.

Calculated values
Magnetic moment ... 0.00 μB/f.u.
ΔH_f (0 K) ... -599.6 meV per atom

Cell lengths 4.362, 6.374, 6.909 Å; angles 72.95, 71.60, 69.99 degrees
Sites, in units of the cell vectors:
B: 0.000 0.000 0.000
Ba: 0.560 0.198 0.682
Ba: 0.440 0.802 0.318
Ir: 0.186 0.696 0.932
Ir: 0.814 0.304 0.068
Ge: 0.201 0.365 0.233
Ge: 0.799 0.635 0.767

Record 2
## NbTeI (GGA-PBE)

Data for a relaxed structure of NbTeI.

Calculated values
Magnetic moment ... 0.00 μB/f.u.
Formation energy from raw total energies ... -0.316 eV/atom

Cell lengths 6.217, 3.562, 8.500 Å; angles 90.00, 91.41, 90.00 degrees
Sites, in units of the cell vectors:
I: 0.003 0.500 0.191
I: 0.094 0.500 0.700
Nb: 0.444 0.500 0.132
Nb: 0.145 0.000 0.957
Te: 0.596 0.000 0.908
Te: 0.523 0.000 0.387

Record 3
## Pr2B2S5 (GGA-PBE)

Data for a relaxed structure of Pr2B2S5.

Calculated values
Magnetic moment ... 0.00 μB/f.u.
Formation energy from raw total energies ... -0.917 eV/atom

Cell lengths 3.710, 9.359, 7.678 Å; angles 123.08, 90.00, 101.43 degrees
Sites, in units of the cell vectors:
S: 0.329 0.657 0.085
S: 0.819 0.638 0.420
S: 0.000 0.000 0.000
S: 0.671 0.343 0.915
S: 0.181 0.362 0.580
B: 0.207 0.414 0.853
B: 0.793 0.586 0.147
Pr: 0.370 0.739 0.754
Pr: 0.630 0.261 0.246

Record 4
## CoAsBr3 (GGA-PBE)

Data for a relaxed structure of CoAsBr3.

Calculated values
Magnetic moment ... 2.76 μB/f.u.
Formation energy from raw total energies ... 0.598 eV/atom

Cell lengths 5.333, 5.333, 5.333 Å; angles 90.00, 90.00, 90.00 degrees
Each line ends with the local moment (μB).
Sites, in units of the cell vectors:
Br: 0.000 0.000 0.500  0.01
Br: 0.500 0.000 0.000  0.01
Br: 0.000 0.500 0.000  0.01
Co: 0.500 0.500 0.500  2.41
As: 0.000 0.000 0.000  -0.02

Record 5
## Pm3Be2GePd9 (GGA-PBE)

Data for a relaxed structure of Pm3Be2GePd9.

Calculated values
Magnetic moment ... 0.00 μB/f.u.
ΔH_f (0 K) ... -653.8 meV per atom

Cell lengths 5.947, 5.947, 8.952 Å; angles 90.00, 90.00, 120.00 degrees
Sites, in units of the cell vectors:
Ge: 0.000 0.000 0.500
Pm: 0.333 0.667 0.651
Pm: 0.000 0.000 0.000
Pm: 0.667 0.333 0.349
Pd: 0.500 0.000 0.000
Pd: 0.000 0.500 0.000
Pd: 0.327 0.163 0.707
Pd: 0.163 0.327 0.293
Pd: 0.673 0.837 0.293
Pd: 0.163 0.837 0.293
Pd: 0.500 0.500 0.000
Pd: 0.837 0.163 0.707
Pd: 0.837 0.673 0.707
Be: 0.333 0.667 0.150
Be: 0.667 0.333 0.850

Record 6
## Tb4Pm3Ag (GGA-PBE)

Data for a relaxed structure of Tb4Pm3Ag.

Calculated values
Magnetic moment ... 0.00 μB/f.u.
ΔH_f (0 K) ... -58.5 meV per atom

Cell lengths 3.602, 3.602, 19.171 Å; angles 90.00, 90.00, 90.00 degrees
Sites, in units of the cell vectors:
Pm: 0.500 0.500 0.766
Pm: 0.500 0.500 0.234
Pm: 0.500 0.500 0.500
Tb: 0.000 0.000 0.902
Tb: 0.000 0.000 0.366
Tb: 0.000 0.000 0.634
Tb: 0.000 0.000 0.098
Ag: 0.500 0.500 0.000

Record 7
## La2Sm3Os2 (GGA-PBE)

Data for a relaxed structure of La2Sm3Os2.

Calculated values
Magnetic moment ... 0.00 μB/f.u.
ΔH_f (0 K) ... -146.7 meV per atom

Cell lengths 3.999, 6.522, 8.925 Å; angles 112.93, 90.00, 107.85 degrees
Sites, in units of the cell vectors:
La: 0.832 0.664 0.198
La: 0.168 0.336 0.802
Os: 0.818 0.637 0.772
Os: 0.182 0.363 0.228
Sm: 0.500 0.000 0.000
Sm: 0.376 0.753 0.580
Sm: 0.624 0.247 0.420

Record 8
## TcAu2Br (GGA-PBE)

Data for a relaxed structure of TcAu2Br.

Calculated values
Magnetic moment ... 2.59 μB/f.u.
Formation energy from raw total energies ... 0.722 eV/atom

Cell lengths 3.068, 4.613, 5.444 Å; angles 90.00, 90.00, 90.00 degrees
Each line ends with the local moment (μB).
Sites, in units of the cell vectors:
Br: 0.500 0.000 0.500  0.05
Au: 0.000 0.000 0.000  0.03
Au: 0.500 0.500 0.000  0.05
Tc: 0.000 0.500 0.500  2.19

Record 9
## SrTcBr (GGA-PBE)

Data for a relaxed structure of SrTcBr.

Calculated values
Magnetic moment ... 2.86 μB/f.u.
Formation energy from raw total energies ... 0.393 eV/atom

Cell lengths 6.818, 6.804, 3.498 Å; angles 75.34, 74.91, 29.75 degrees
Each line ends with the local moment (μB).
Sites, in units of the cell vectors:
Br: 0.004 0.004 0.996  0.07
Sr: 0.336 0.336 0.664  -0.03
Tc: 0.660 0.660 0.340  2.54

Record 10
## Tm6ZnPd12 (GGA-PBE)

Data for a relaxed structure of Tm6ZnPd12.

Calculated values
Magnetic moment ... 0.00 μB/f.u.
ΔH_f (0 K) ... -787.3 meV per atom

Cell lengths 7.167, 7.167, 7.167 Å; angles 96.30, 96.30, 96.30 degrees
Sites, in units of the cell vectors:
Pd: 0.509 0.212 0.448
Pd: 0.212 0.448 0.509
Pd: 0.788 0.552 0.491
Pd: 0.108 0.355 0.043
Pd: 0.892 0.645 0.957
Pd: 0.491 0.788 0.552
Pd: 0.957 0.892 0.645
Pd: 0.355 0.043 0.108
Pd: 0.043 0.108 0.355
Pd: 0.552 0.491 0.788
Pd: 0.448 0.509 0.212
Pd: 0.645 0.957 0.892
Tm: 0.686 0.845 0.253
Tm: 0.253 0.686 0.845
Tm: 0.747 0.314 0.155
Tm: 0.155 0.747 0.314
Tm: 0.314 0.155 0.747
Tm: 0.845 0.253 0.686
Zn: 0.000 0.000 0.000

Record 11
## CsRbHgPd (GGA-PBE)

Data for a relaxed structure of CsRbHgPd.

Calculated values
Magnetic moment ... 0.00 μB/f.u.
ΔH_f (0 K) ... -151.1 meV per atom

Cell lengths 4.859, 4.859, 9.781 Å; angles 90.25, 104.14, 119.98 degrees
Sites, in units of the cell vectors:
Hg: 0.510 0.620 0.130
Pd: 0.841 0.285 0.127
Cs: 0.004 0.864 0.868
Rb: 0.337 0.035 0.372

Record 12
## SrAsBr2O (GGA-PBE)

Data for a relaxed structure of SrAsBr2O.

Calculated values
Magnetic moment ... 4.88 μB/f.u.
Formation energy from raw total energies ... 0.118 eV/atom

Cell lengths 5.896, 5.896, 7.164 Å; angles 90.00, 90.00, 90.00 degrees
Each line ends with the local moment (μB).
Sites, in units of the cell vectors:
Br: 0.000 0.500 0.000  0.05
Br: 0.500 0.000 0.000  0.05
Sr: 0.000 0.000 0.000  0.02
As: 0.000 0.000 0.500  1.22
O: 0.500 0.500 0.500  1.44